1.
! LiIr2W2 | Alexandria | PBE | optimized geometry; values from VASP
&SYSTEM
  ibrav = 0, nat = 10, ntyp = 3
/
ATOMIC_SPECIES
Li 6.94 Li.upf
Ir 192.22 Ir.upf
W 183.84 W.upf
CELL_PARAMETERS angstrom
7.7152 0.0000 0.0000
0.0000 7.7152 0.0000
0.0000 0.0000 2.7788
ATOMIC_POSITIONS angstrom
Li 0.0000 0.0000 0.0000
Li 3.8576 3.8576 0.0000
Ir 1.0088 2.8488 0.0000
Ir 2.8488 6.7064 0.0000
Ir 4.8664 1.0088 0.0000
Ir 6.7064 4.8664 0.0000
W 1.2510 5.1086 1.3894
W 2.6066 1.2510 1.3894
W 5.1086 6.4642 1.3894
W 6.4642 2.6066 1.3894
! Volume = 83 Å³/f.u.
! Formation energy = -30 meV per atom

=====

2.
! CoCuNi2 | Alexandria | PBE | optimized geometry; values from VASP
&SYSTEM
  ibrav = 0, nat = 4, ntyp = 3
/
ATOMIC_SPECIES
Co 58.93 Co.upf
Cu 63.55 Cu.upf
Ni 58.69 Ni.upf
CELL_PARAMETERS angstrom
2.5130 0.0000 0.0000
0.0000 3.5131 0.0000
0.0000 0.0000 5.0338
ATOMIC_POSITIONS angstrom
Co 0.0000 0.0000 0.0000
Cu 0.0000 0.0000 2.5169
Ni 1.2565 1.7565 1.2287
Ni 1.2565 1.7565 3.8051
! Volume = 44 Å³/f.u.
! Formation energy = 35 meV per atom

=====

3.
! ZrCrS2Cl | Alexandria | PBE | optimized geometry; values from VASP
&SYSTEM
  ibrav = 0, nat = 5, ntyp = 4
/
ATOMIC_SPECIES
Zr 91.22 Zr.upf
Cr 52.00 Cr.upf
S 32.06 S.upf
Cl 35.45 Cl.upf
CELL_PARAMETERS angstrom
4.6366 0.0000 0.0000
0.0000 4.6366 0.0000
0.0000 0.0000 4.4612
ATOMIC_POSITIONS angstrom
Zr 0.0000 0.0000 0.0000
Cr 2.3183 2.3183 2.2306
S 0.0000 2.3183 2.2306
S 2.3183 0.0000 2.2306
Cl 2.3183 2.3183 0.0000
! Relative energy among the computed polymorphs = 0.245 eV per atom
! Volume = 96 Å³/f.u.
! Formation energy (no corrections) = -0.26 eV/atom

=====

4.
! BaCaTbSnO6 | Alexandria | PBE | optimized geometry; values from VASP
&SYSTEM
  ibrav = 0, nat = 20, ntyp = 5
/
ATOMIC_SPECIES
Ba 137.33 Ba.upf
Ca 40.08 Ca.upf
Tb 158.93 Tb.upf
Sn 118.71 Sn.upf
O 16.00 O.upf
CELL_PARAMETERS angstrom
5.9675 0.0000 0.0000
-0.0132 6.0059 0.0000
-0.0396 -0.0187 8.4862
ATOMIC_POSITIONS angstrom
Ba 0.0298 0.1418 2.1246
Ba 5.8848 5.8454 6.3616
Ca 2.9356 2.8159 6.3341
Ca 2.9790 3.1714 2.1521
Tb -0.0264 2.9936 4.2431
Tb 2.9837 0.0000 0.0000
Sn -0.0066 3.0030 0.0000
Sn 2.9639 -0.0093 4.2431
O 0.5480 2.9091 6.4582
O 1.1613 4.6962 0.1735
O 1.2640 4.8076 4.1145
O 1.7110 1.8593 0.5195
O 1.8407 1.7327 3.7512
O 2.6490 0.4241 6.2783
O 3.2656 5.5632 2.2079
O 4.0739 4.2546 4.7350
O 4.2036 4.1280 7.9667
O 4.6506 1.1796 4.3717
O 4.7533 1.2911 8.3127
O 5.3666 3.0781 2.0280
! Relative energy among the computed polymorphs = 0.000 eV per atom
! Volume = 152 Å³/f.u.
! Formation energy (no corrections) = -2.46 eV/atom

=====

Q: Among the records above, which one has the highest volume?
A: BaCaTbSnO6

=====

Q: The highest volume belongs to which entry?
A: BaCaTbSnO6

=====

Q: What is the formula in the first record?
A: LiIr2W2

=====

Q: Number 3 is which compound?
A: ZrCrS2Cl